1.
VASP calculation (PBE-GGA) on a relaxed structure of SrTaO4.

The structure in extended XYZ format:
```
12
Lattice="-2.776 2.776 5.813 2.776 -2.776 5.813 2.776 2.776 -5.813" Properties=species:S:1:pos:R:3 pbc="T T T"
Sr 0.000 1.388 1.453
Sr 2.776 1.388 4.360
Ta 2.776 1.388 -1.453
Ta 0.000 1.388 7.267
O 1.519 0.443 -0.412
O 1.831 -0.131 2.495
O 1.831 2.645 -2.495
O 1.257 -0.443 5.401
O 1.519 3.219 0.412
O 0.945 0.131 8.308
O 0.945 2.907 3.319
O 1.257 2.333 6.225
```

Properties
The size of the total moment comes out at 0.17 μB/atom. The space-group type is I4_1/a (88). The calculation puts the energy relative to the elements, uncorrected at -249 kJ/mol of atoms. As for the density of states at the Fermi level: 6.8 states/eV/cell. Its total energy is -8.143 eV/atom.

=====

2.
VASP calculation (PBE-GGA) on a relaxed structure of Cs5RbNa2.

The structure in extended XYZ format:
```
16
Lattice="5.305 0.000 0.000 0.000 11.926 0.000 0.000 0.000 23.656" Properties=species:S:1:pos:R:3 pbc="T T T"
Cs 0.000 0.000 0.000
Cs 0.000 2.647 8.296
Cs 0.000 2.647 15.360
Cs 0.000 9.279 8.296
Cs 0.000 9.279 15.360
Cs 2.652 3.316 3.532
Cs 2.652 3.316 20.124
Cs 2.652 5.963 11.828
Cs 2.652 8.610 3.532
Cs 2.652 8.610 20.124
Rb 0.000 5.963 0.000
Rb 2.652 0.000 11.828
Na 0.000 0.000 4.694
Na 0.000 0.000 18.962
Na 2.652 5.963 7.134
Na 2.652 5.963 16.522
```

Properties
The size of the total moment comes out at 0.00 μB/atom. The space-group type is Immm (71). As for the density of states at the Fermi level: 12.4 states/eV/cell. Its total energy is -0.946 eV/atom. The energy relative to the elements is 0.0382 eV/atom.

=====

3.
VASP calculation (PBE-GGA) on a relaxed structure of ScTl2Cu.

The structure in extended XYZ format:
```
4
Lattice="3.231 0.000 0.000 0.000 4.553 0.000 -0.007 0.000 6.211" Properties=species:S:1:pos:R:3 pbc="T T T"
Sc 0.000 0.000 0.000
Tl 1.607 2.276 4.727
Tl 1.617 0.000 2.725
Cu 1.615 2.276 1.200
```

Properties
The size of the total moment comes out at 0.00 μB/atom. The value obtained for the polymorph energy (0 for the lowest one) is 32 kJ/mol of formula units. The space-group type is Pm (6). As for the density of states at the Fermi level: 2.2 states/eV/cell. Its total energy is -3.729 eV/atom. The energy relative to the elements is 0.0615 eV/atom.

=====

4.
VASP calculation (PBE-GGA) on a relaxed structure of Tb2CdSiO6.

The structure in extended XYZ format:
```
10
Lattice="5.230 0.000 0.000 0.000 5.230 0.000 0.000 0.000 4.959" Properties=species:S:1:pos:R:3 pbc="T T T"
Tb 0.000 2.615 0.000
Tb 2.615 0.000 0.000
Cd 0.000 0.000 2.704
Si 2.615 2.615 3.074
O 0.000 0.000 0.598
O 1.442 1.442 3.661
O 1.442 3.788 3.661
O 2.615 2.615 1.396
O 3.788 1.442 3.661
O 3.788 3.788 3.661
```

Properties
The size of the total moment comes out at 0.00 μB/atom. The space-group type is P4mm (99). The calculation puts the energy relative to the elements, uncorrected at -254 kJ/mol of atoms. As for the density of states at the Fermi level: 0.0 states/eV/cell. Its total energy is -7.167 eV/atom.

=====

5.
VASP calculation (PBE-GGA) on a relaxed structure of Y2ErSc12.

The structure in extended XYZ format:
```
30
Lattice="5.972 0.000 0.000 0.000 5.972 0.000 0.000 0.000 23.251" Properties=species:S:1:pos:R:3 pbc="T T T"
Y 1.493 4.479 5.119
Y 1.493 4.479 18.132
Y 4.479 1.493 5.119
Y 4.479 1.493 18.132
Er 1.493 4.479 11.626
Er 4.479 1.493 11.626
Sc 0.403 3.389 8.828
Sc 0.403 5.569 14.423
Sc 0.487 3.473 1.390
Sc 0.487 5.485 21.861
Sc 1.493 1.493 3.627
Sc 1.493 1.493 6.572
Sc 1.493 1.493 16.679
Sc 1.493 1.493 19.624
Sc 2.499 3.473 21.861
Sc 2.499 5.485 1.390
Sc 2.583 3.389 14.423
Sc 2.583 5.569 8.828
Sc 3.389 0.403 14.423
Sc 3.389 2.583 8.828
Sc 3.473 0.487 21.861
Sc 3.473 2.499 1.390
Sc 4.479 4.479 3.627
Sc 4.479 4.479 6.572
Sc 4.479 4.479 16.679
Sc 4.479 4.479 19.624
Sc 5.485 0.487 1.390
Sc 5.485 2.499 21.861
Sc 5.569 0.403 8.828
Sc 5.569 2.583 14.423
```

Properties
The size of the total moment comes out at 0.00 μB/atom. The space-group type is P4/nbm (125). As for the density of states at the Fermi level: 52.8 states/eV/cell. Its total energy is -5.933 eV/atom. The energy relative to the elements is 0.2984 eV/atom.

=====

6.
VASP calculation (PBE-GGA) on a relaxed structure of K2BI2.

The structure in extended XYZ format:
```
10
Lattice="8.906 0.000 0.000 0.000 8.906 0.000 0.000 0.000 4.865" Properties=species:S:1:pos:R:3 pbc="T T T"
K 1.355 3.098 0.000
K 3.098 7.551 0.000
K 5.808 1.355 0.000
K 7.551 5.808 0.000
B 0.000 0.000 2.433
B 4.453 4.453 2.433
I 1.431 5.884 2.433
I 3.022 1.431 2.433
I 5.884 7.475 2.433
I 7.475 3.022 2.433
```

Properties
The size of the total moment comes out at 0.20 μB/atom. The value obtained for the polymorph energy (0 for the lowest one) is 0 kJ/mol of formula units. The space-group type is P4/mbm (127). The calculation puts the energy relative to the elements, uncorrected at -3 kJ/mol of atoms. As for the density of states at the Fermi level: 0.3 states/eV/cell. Its total energy is -2.423 eV/atom.

=====

7.
VASP calculation (PBE-GGA) on a relaxed structure of AcPaIr2.

The structure in extended XYZ format:
```
12
Lattice="4.008 0.000 0.000 -2.004 3.471 0.000 0.000 0.000 22.025" Properties=species:S:1:pos:R:3 pbc="T T T"
Ac 0.000 0.000 0.000
Ac 0.000 2.314 14.684
Ac 2.004 1.157 7.342
Pa 0.000 0.000 3.784
Pa 0.000 2.314 18.468
Pa 2.004 1.157 11.126
Ir 0.000 0.000 12.661
Ir 0.000 0.000 16.872
Ir 0.000 2.314 5.319
Ir 0.000 2.314 9.530
Ir 2.004 1.157 2.188
Ir 2.004 1.157 20.003
```

Properties
The size of the total moment comes out at 0.00 μB/atom. The value obtained for the polymorph energy (0 for the lowest one) is 48 kJ/mol of formula units. The space-group type is R3m (160). As for the density of states at the Fermi level: 3.3 states/eV/cell. Its total energy is -8.508 eV/atom. The energy relative to the elements is -0.6766 eV/atom.

=====

8.
VASP calculation (PBE-GGA) on a relaxed structure of K2BAsS4.

The structure in extended XYZ format:
```
16
Lattice="0.000 6.661 10.989 2.983 0.000 10.989 2.983 6.661 0.000" Properties=species:S:1:pos:R:3 pbc="T T T"
K 2.237 4.996 1.222
K 3.728 8.327 6.717
K 2.237 4.996 15.261
K 3.728 8.327 20.756
B 0.746 1.665 2.747
B 5.220 11.657 19.231
As 2.237 4.996 8.242
As 3.728 8.327 13.736
S 1.864 2.816 3.855
S 4.101 6.146 9.349
S 2.610 7.176 3.855
S 2.610 2.816 12.629
S 3.356 10.507 9.349
S 3.356 6.146 18.123
S 1.864 7.176 12.629
S 4.101 10.507 18.123
```

Properties
The size of the total moment comes out at 0.00 μB/atom. The space-group type is Fddd (70). The calculation puts the energy relative to the elements, uncorrected at -62 kJ/mol of atoms. As for the density of states at the Fermi level: 0.0 states/eV/cell. Its total energy is -4.398 eV/atom.

=====

9.
VASP calculation (PBE-GGA) on a relaxed structure of KTe2W.

The structure in extended XYZ format:
```
4
Lattice="3.433 0.000 0.000 0.000 3.433 0.000 0.000 0.000 8.546" Properties=species:S:1:pos:R:3 pbc="T T T"
K 0.000 0.000 0.000
Te 1.717 1.717 2.649
Te 1.717 1.717 5.897
W 0.000 0.000 4.273
```

Properties
The size of the total moment comes out at 0.00 μB/atom. The value obtained for the polymorph energy (0 for the lowest one) is 37 kJ/mol of formula units. The space-group type is P4/mmm (123). The calculation puts the energy relative to the elements, uncorrected at 4 kJ/mol of atoms. As for the density of states at the Fermi level: 1.8 states/eV/cell. Its total energy is -5.040 eV/atom.

=====

10.
VASP calculation (PBE-GGA) on a relaxed structure of PHI3.

The structure in extended XYZ format:
```
10
Lattice="-5.696 3.250 5.453 5.696 -3.250 5.453 5.696 3.250 -5.453" Properties=species:S:1:pos:R:3 pbc="T T T"
P 2.848 1.245 0.000
P 2.848 2.004 5.453
H 2.848 2.608 -0.441
H 2.848 0.642 5.011
I 0.060 1.623 0.262
I 5.636 1.623 0.262
I 2.848 2.983 3.169
I -0.060 4.877 0.262
I 0.060 1.627 5.714
I -2.848 3.516 3.169
```

Properties
The size of the total moment comes out at 0.00 μB/atom. The value obtained for the polymorph energy (0 for the lowest one) is 0 kJ/mol of formula units. The space-group type is Ima2 (46). As for the density of states at the Fermi level: 3.5 states/eV/cell. Its total energy is -2.643 eV/atom.

=====

Q: Which of these has the highest size of the total moment?
A: K2BI2

=====

Q: Which value of size of the total moment does entry 8 give?
A: 0.00 μB/atom